(1)
# Re2SiTc | Alexandria via LeMat-Bulk | PBE | relaxed
# **Formation energy from raw total energies**: -0.16 eV per atom
data_Re2SiTc
_symmetry_space_group_name_H-M 'I m m m'
_symmetry_Int_Tables_number 71
_symmetry_space_group_name_Hall '-I 2 2'
_cell_length_a 2.947
_cell_length_b 4.384
_cell_length_c 8.729
_cell_angle_alpha 90.00
_cell_angle_beta 90.00
_cell_angle_gamma 90.00
loop_
_atom_site_label
_atom_site_type_symbol
_atom_site_fract_x
_atom_site_fract_y
_atom_site_fract_z
Re1 Re 0.000 0.000 0.231
Si1 Si 0.000 0.500 0.500
Tc1 Tc 0.000 0.500 0.000

=====

(2)
# Dy2ThPaCo2 | Alexandria via LeMat-Bulk | PBE | relaxed
# **Uncorrected energy**: -6.91 eV/atom
data_Dy2ThPaCo2
_symmetry_space_group_name_H-M 'I b a m'
_symmetry_Int_Tables_number 72
_symmetry_space_group_name_Hall '-I 2 2c'
_cell_length_a 7.063
_cell_length_b 12.133
_cell_length_c 6.937
_cell_angle_alpha 90.00
_cell_angle_beta 90.00
_cell_angle_gamma 90.00
loop_
_atom_site_label
_atom_site_type_symbol
_atom_site_fract_x
_atom_site_fract_y
_atom_site_fract_z
Dy1 Dy 0.200 0.204 0.000
Th1 Th 0.000 0.500 0.250
Pa1 Pa 0.000 0.000 0.250
Co1 Co 0.219 0.076 0.500

=====

(3)
# Cr2Os2Pd | Alexandria via LeMat-Bulk | PBE | relaxed
# **Uncorrected energy**: -9.20 eV/atom
data_Cr2Os2Pd
_symmetry_space_group_name_H-M 'P 4/m b m'
_symmetry_Int_Tables_number 127
_symmetry_space_group_name_Hall '-P 4 2ab'
_cell_length_a 7.201
_cell_length_b 7.201
_cell_length_c 2.728
_cell_angle_alpha 90.00
_cell_angle_beta 90.00
_cell_angle_gamma 90.00
loop_
_atom_site_label
_atom_site_type_symbol
_atom_site_fract_x
_atom_site_fract_y
_atom_site_fract_z
Cr1 Cr 0.161 0.339 0.000
Os1 Os 0.134 0.634 0.500
Pd1 Pd 0.000 0.000 0.500

=====

(4)
# AcTb5Y2Ho | Alexandria via LeMat-Bulk | PBE | relaxed
# **Uncorrected energy**: -4.83 eV/atom
data_AcTb5Y2Ho
_symmetry_space_group_name_H-M 'C m c 21'
_symmetry_Int_Tables_number 36
_cell_length_a 5.532
_cell_length_b 24.065
_cell_length_c 9.312
_cell_angle_alpha 90.00
_cell_angle_beta 90.00
_cell_angle_gamma 90.00
loop_
_symmetry_equiv_pos_as_xyz
'x,y,z'
'-x,-y,z+1/2'
'-x,y,z'
'x,-y,z+1/2'
'x+1/2,y+1/2,z'
'-x+1/2,-y+1/2,z+1/2'
'-x+1/2,y+1/2,z'
'x+1/2,-y+1/2,z+1/2'
loop_
_atom_site_label
_atom_site_type_symbol
_atom_site_fract_x
_atom_site_fract_y
_atom_site_fract_z
Ac1 Ac 0.000 0.102 0.000
Tb1 Tb 0.000 0.023 0.317
Tb2 Tb 0.000 0.104 0.596
Tb3 Tb 0.000 0.193 0.297
Tb4 Tb 0.000 0.243 0.941
Tb5 Tb 0.000 0.491 0.090
Y1 Y 0.000 0.330 0.252
Y2 Y 0.000 0.387 0.845
Ho1 Ho 0.000 0.258 0.612

=====

(5)
# Pm3ScTe6 | Alexandria via LeMat-Bulk | PBE | relaxed
# **Formation energy from raw total energies**: -1.35 eV per atom
data_Pm3ScTe6
_symmetry_space_group_name_H-M 'P 1 21/c 1'
_symmetry_Int_Tables_number 14
_cell_length_a 7.349
_cell_length_b 8.161
_cell_length_c 13.088
_cell_angle_alpha 90.00
_cell_angle_beta 122.29
_cell_angle_gamma 90.00
loop_
_symmetry_equiv_pos_as_xyz
'x,y,z'
'-x,-y,-z'
'-x,y+1/2,-z+1/2'
'x,-y+1/2,z+1/2'
loop_
_atom_site_label
_atom_site_type_symbol
_atom_site_fract_x
_atom_site_fract_y
_atom_site_fract_z
Pm1 Pm 0.000 0.000 0.000
Pm2 Pm 0.309 0.121 0.757
Sc1 Sc 0.500 0.000 0.500
Te1 Te 0.102 0.045 0.262
Te2 Te 0.247 0.668 0.076
Te3 Te 0.421 0.184 0.074

=====

(6)
# Fe2RuRh | Alexandria via LeMat-Bulk | PBE | relaxed
# **Uncorrected energy**: -8.30 eV/atom
data_Fe2RuRh
_symmetry_space_group_name_H-M 'I 4/m m m'
_symmetry_Int_Tables_number 139
_symmetry_space_group_name_Hall '-I 4 2'
_cell_length_a 3.759
_cell_length_b 3.759
_cell_length_c 7.266
_cell_angle_alpha 90.00
_cell_angle_beta 90.00
_cell_angle_gamma 90.00
loop_
_atom_site_label
_atom_site_type_symbol
_atom_site_fract_x
_atom_site_fract_y
_atom_site_fract_z
Fe1 Fe 0.000 0.500 0.250
Ru1 Ru 0.000 0.000 0.000
Rh1 Rh 0.000 0.000 0.500